First-principles (PBE-GGA) data for In2TcSe after structural relaxation, as listed in Alexandria.

Lattice parameters (Å, degrees): 5.0079 5.0079 3.2466 90.00 90.00 104.44
Fractional coordinates of all 4 atoms:
In (0.0000, 0.5000, 0.0000)
In (0.5000, 0.0000, 0.0000)
Tc (0.0000, 0.0000, 0.5000)
Se (0.5000, 0.5000, 0.5000)

The raw formation energy comes out at 0.32 eV per atom. The density of states at the Fermi level comes out at 0.752 states/eV/atom. The space-group type is Cmmm, No. 65. As for the total energy: -4.5151 eV per atom. The value obtained for the mass density is 8.563 g cm⁻³.